No. 1
# Mn4BrCl | Alexandria | PBE | optimized geometry
# - uncorrected formation energy (eV/atom) = 0.566
# - SG = No. 216
data_Mn4BrCl
_cell_length_a 5.571
_cell_length_b 5.571
_cell_length_c 5.571
_cell_angle_alpha 60.00
_cell_angle_beta 60.00
_cell_angle_gamma 60.00
_space_group_name_H-M_alt 'P 1'
_space_group_IT_number 1
loop_
_space_group_symop_operation_xyz
'x,y,z'
loop_
_atom_site_label
_atom_site_type_symbol
_atom_site_fract_x
_atom_site_fract_y
_atom_site_fract_z
Mn1 Mn 0.125 0.125 0.125
Mn2 Mn 0.125 0.125 0.625
Mn3 Mn 0.125 0.625 0.125
Mn4 Mn 0.625 0.125 0.125
Br1 Br 0.750 0.750 0.750
Cl1 Cl 0.500 0.500 0.500


No. 2
# Ba3Tl2Bi4 | Alexandria | PBE | optimized geometry
# - formation energy (eV per atom) = -0.58
# - SG = No. 2
# - ΔE to the lowest computed polymorph (meV per atom) = 10
data_Ba3Tl2Bi4
_cell_length_a 5.241
_cell_length_b 7.962
_cell_length_c 9.450
_cell_angle_alpha 108.55
_cell_angle_beta 106.06
_cell_angle_gamma 90.01
_space_group_name_H-M_alt 'P 1'
_space_group_IT_number 1
loop_
_space_group_symop_operation_xyz
'x,y,z'
loop_
_atom_site_label
_atom_site_type_symbol
_atom_site_fract_x
_atom_site_fract_y
_atom_site_fract_z
Ba1 Ba 0.000 0.000 0.000
Ba2 Ba 0.136 0.605 0.272
Ba3 Ba 0.864 0.395 0.728
Tl1 Tl 0.332 0.010 0.665
Tl2 Tl 0.668 0.990 0.335
Bi1 Bi 0.211 0.232 0.421
Bi2 Bi 0.494 0.687 0.988
Bi3 Bi 0.506 0.313 0.012
Bi4 Bi 0.789 0.768 0.579


No. 3
# Sm2Er5TmSc | Alexandria | PBE | optimized geometry
# - formation energy (eV per atom) = 0.29
# - SG = No. 140
data_Sm2Er5TmSc
_cell_length_a 9.831
_cell_length_b 9.831
_cell_length_c 9.831
_cell_angle_alpha 129.38
_cell_angle_beta 129.38
_cell_angle_gamma 74.40
_space_group_name_H-M_alt 'P 1'
_space_group_IT_number 1
loop_
_space_group_symop_operation_xyz
'x,y,z'
loop_
_atom_site_label
_atom_site_type_symbol
_atom_site_fract_x
_atom_site_fract_y
_atom_site_fract_z
Sm1 Sm 0.120 0.620 0.739
Sm2 Sm 0.380 0.120 0.500
Sm3 Sm 0.620 0.880 0.500
Sm4 Sm 0.880 0.380 0.261
Er1 Er 0.000 0.000 0.000
Er2 Er 0.067 0.147 0.500
Er3 Er 0.147 0.647 0.080
Er4 Er 0.353 0.433 0.500
Er5 Er 0.433 0.933 0.080
Er6 Er 0.500 0.500 0.000
Er7 Er 0.567 0.067 0.920
Er8 Er 0.647 0.567 0.500
Er9 Er 0.853 0.353 0.920
Er10 Er 0.933 0.853 0.500
Tm1 Tm 0.250 0.250 0.000
Tm2 Tm 0.750 0.750 0.000
Sc1 Sc 0.250 0.750 0.500
Sc2 Sc 0.750 0.250 0.500


No. 4
# Li2Sn6Hg | Alexandria | PBE | optimized geometry
# - formation energy (eV per atom) = -0.09
# - SG = No. 12
data_Li2Sn6Hg
_cell_length_a 7.578
_cell_length_b 7.578
_cell_length_c 7.458
_cell_angle_alpha 106.58
_cell_angle_beta 106.58
_cell_angle_gamma 33.24
_space_group_name_H-M_alt 'P 1'
_space_group_IT_number 1
loop_
_space_group_symop_operation_xyz
'x,y,z'
loop_
_atom_site_label
_atom_site_type_symbol
_atom_site_fract_x
_atom_site_fract_y
_atom_site_fract_z
Li1 Li 0.058 0.058 0.316
Li2 Li 0.942 0.942 0.684
Sn1 Sn 0.164 0.164 0.987
Sn2 Sn 0.277 0.277 0.663
Sn3 Sn 0.401 0.401 0.349
Sn4 Sn 0.599 0.599 0.651
Sn5 Sn 0.723 0.723 0.337
Sn6 Sn 0.836 0.836 0.013
Hg1 Hg 0.500 0.500 0.000


No. 5
# La2YMn | Alexandria | PBE | optimized geometry
# - formation energy (eV per atom) = 0.27
# - SG = No. 166
# - ΔE to the lowest computed polymorph (meV per atom) = 119
data_La2YMn
_cell_length_a 3.638
_cell_length_b 3.638
_cell_length_c 31.861
_cell_angle_alpha 90.00
_cell_angle_beta 90.00
_cell_angle_gamma 120.00
_space_group_name_H-M_alt 'P 1'
_space_group_IT_number 1
loop_
_space_group_symop_operation_xyz
'x,y,z'
loop_
_atom_site_label
_atom_site_type_symbol
_atom_site_fract_x
_atom_site_fract_y
_atom_site_fract_z
La1 La 0.000 0.000 0.238
La2 La 0.000 0.000 0.762
La3 La 0.333 0.667 0.429
La4 La 0.333 0.667 0.904
La5 La 0.667 0.333 0.096
La6 La 0.667 0.333 0.571
Y1 Y 0.000 0.000 0.000
Y2 Y 0.333 0.667 0.667
Y3 Y 0.667 0.333 0.333
Mn1 Mn 0.000 0.000 0.500
Mn2 Mn 0.333 0.667 0.167
Mn3 Mn 0.667 0.333 0.833


No. 6
# Nd2Ho2Al | Alexandria | PBE | optimized geometry
# - formation energy (eV per atom) = -0.15
# - SG = No. 139
# - ΔE to the lowest computed polymorph (meV per atom) = 0
data_Nd2Ho2Al
_cell_length_a 3.548
_cell_length_b 3.548
_cell_length_c 23.608
_cell_angle_alpha 90.00
_cell_angle_beta 90.00
_cell_angle_gamma 90.00
_space_group_name_H-M_alt 'P 1'
_space_group_IT_number 1
loop_
_space_group_symop_operation_xyz
'x,y,z'
loop_
_atom_site_label
_atom_site_type_symbol
_atom_site_fract_x
_atom_site_fract_y
_atom_site_fract_z
Nd1 Nd 0.000 0.000 0.191
Nd2 Nd 0.000 0.000 0.809
Nd3 Nd 0.500 0.500 0.309
Nd4 Nd 0.500 0.500 0.691
Ho1 Ho 0.000 0.000 0.420
Ho2 Ho 0.000 0.000 0.580
Ho3 Ho 0.500 0.500 0.080
Ho4 Ho 0.500 0.500 0.920
Al1 Al 0.000 0.000 0.000
Al2 Al 0.500 0.500 0.500


No. 7
# Th3ZnGe6Ru2 | Alexandria | PBE | optimized geometry
# - formation energy (eV per atom) = -0.17
# - SG = No. 164
data_Th3ZnGe6Ru2
_cell_length_a 6.145
_cell_length_b 6.145
_cell_length_c 7.718
_cell_angle_alpha 90.00
_cell_angle_beta 90.00
_cell_angle_gamma 120.00
_space_group_name_H-M_alt 'P 1'
_space_group_IT_number 1
loop_
_space_group_symop_operation_xyz
'x,y,z'
loop_
_atom_site_label
_atom_site_type_symbol
_atom_site_fract_x
_atom_site_fract_y
_atom_site_fract_z
Th1 Th 0.000 0.000 0.000
Th2 Th 0.333 0.667 0.668
Th3 Th 0.667 0.333 0.332
Zn1 Zn 0.000 0.000 0.500
Ge1 Ge 0.192 0.383 0.289
Ge2 Ge 0.192 0.808 0.289
Ge3 Ge 0.383 0.192 0.711
Ge4 Ge 0.617 0.808 0.289
Ge5 Ge 0.808 0.192 0.711
Ge6 Ge 0.808 0.617 0.711
Ru1 Ru 0.333 0.667 0.022
Ru2 Ru 0.667 0.333 0.978


No. 8
# MgSc2Pt | Alexandria | PBE | optimized geometry
# - formation energy (eV per atom) = -0.57
# - SG = No. 99
data_MgSc2Pt
_cell_length_a 3.364
_cell_length_b 3.364
_cell_length_c 7.226
_cell_angle_alpha 90.00
_cell_angle_beta 90.00
_cell_angle_gamma 90.00
_space_group_name_H-M_alt 'P 1'
_space_group_IT_number 1
loop_
_space_group_symop_operation_xyz
'x,y,z'
loop_
_atom_site_label
_atom_site_type_symbol
_atom_site_fract_x
_atom_site_fract_y
_atom_site_fract_z
Mg1 Mg 0.000 0.000 0.000
Sc1 Sc 0.000 0.000 0.412
Sc2 Sc 0.500 0.500 0.711
Pt1 Pt 0.500 0.500 0.212


No. 9
# LaTc2Ni | Alexandria | PBE | optimized geometry
# - formation energy (eV per atom) = 0.23
# - SG = No. 6
# - ΔE to the lowest computed polymorph (meV per atom) = 172
data_LaTc2Ni
_cell_length_a 3.167
_cell_length_b 4.169
_cell_length_c 5.726
_cell_angle_alpha 90.00
_cell_angle_beta 102.34
_cell_angle_gamma 90.00
_space_group_name_H-M_alt 'P 1'
_space_group_IT_number 1
loop_
_space_group_symop_operation_xyz
'x,y,z'
loop_
_atom_site_label
_atom_site_type_symbol
_atom_site_fract_x
_atom_site_fract_y
_atom_site_fract_z
La1 La 0.000 0.000 0.000
Tc1 Tc 0.236 0.500 0.569
Tc2 Tc 0.640 0.000 0.502
Ni1 Ni 0.583 0.500 0.210


No. 10
# YAg2Mo | Alexandria | PBE | optimized geometry
# - formation energy (eV per atom) = 0.36
# - SG = No. 6
# - ΔE to the lowest computed polymorph (meV per atom) = 68
data_YAg2Mo
_cell_length_a 2.877
_cell_length_b 4.697
_cell_length_c 5.958
_cell_angle_alpha 90.00
_cell_angle_beta 103.94
_cell_angle_gamma 90.00
_space_group_name_H-M_alt 'P 1'
_space_group_IT_number 1
loop_
_space_group_symop_operation_xyz
'x,y,z'
loop_
_atom_site_label
_atom_site_type_symbol
_atom_site_fract_x
_atom_site_fract_y
_atom_site_fract_z
Y1 Y 0.000 0.000 0.000
Ag1 Ag 0.620 0.500 0.240
Ag2 Ag 0.747 0.000 0.501
Mo1 Mo 0.349 0.500 0.700


Electronic total energy / eV per atom: -6.133 -3.476 -4.498 -3.222 -6.099 -4.637 -5.990 -5.641 -7.632 -5.388
Density / Mg/m³: 4.55 7.69 8.11 6.87 5.75 7.21 9.21 6.28 8.85 8.51
D(E_F) / states/eV/atom: 0.83 0.50 1.31 0.39 1.06 1.08 0.65 0.62 1.10 1.16